(one)
A crystal of CaCo2Tc relaxed with PBEsol, computed with SCAN.

Properties
D(E_F) = 3.1 states/eV/cell

Cell: 2.7207 4.1898 5.1570 Å, 90.00 101.03 90.00°
With the nearest neighbours (Å) after each atom.
Space group Pm (No. 6)
Inequivalent atoms, fractional coordinates:
1 Ca 0.0000 0.0000 0.0000 (multiplicity 1)  7 Co 2.62-2.87, 2 Ca 2.72
2 Co 0.5946 0.5000 0.2130 (multiplicity 1)  2 Tc 2.38-2.42, 2 Co 2.53
3 Co 0.6470 0.0000 0.4908 (multiplicity 1)  4 Tc 2.48-2.66, 4 Co 2.53-2.72, 1 Ca 2.62
4 Tc 0.2495 0.5000 0.6041 (multiplicity 1)  6 Co 2.38-2.66

(two)
A crystal of CaCo2Tc relaxed with PBEsol, computed with SCAN.

Properties
D(E_F) = 2.2 states/eV/cell

Cell: 4.5057 4.5057 2.7572 Å, 90.00 90.00 90.00°
With the nearest neighbours (Å) after each atom.
Space group P4/mmm (No. 123)
Inequivalent atoms, fractional coordinates:
1 Ca 0.0000 0.0000 0.0000 (multiplicity 1)  8 Co 2.64, 2 Ca 2.76
2 Co 0.0000 0.5000 0.5000 (multiplicity 2)  4 Tc 2.64, 4 Ca 2.64, 2 Co 2.76
3 Tc 0.5000 0.5000 0.0000 (multiplicity 1)  8 Co 2.64, 2 Tc 2.76

Stability order, top to bottom: (two), (one)

(one)
A crystal of CaYCo2 relaxed with PBEsol, computed with SCAN.

Properties
D(E_F) = 4.7 states/eV/cell

Cell: 3.6817 4.1397 11.3610 Å, 90.00 90.00 90.00°
With the nearest neighbours (Å) after each atom.
Space group Imm2 (No. 44)
Inequivalent atoms, fractional coordinates:
1 Ca 0.0000 0.0000 0.0000 (multiplicity 2)  6 Co 2.99-3.03
2 Y 0.0000 0.5000 0.2397 (multiplicity 2)  6 Co 2.77-2.87
3 Co 0.0000 0.0000 0.4011 (multiplicity 2)  2 Co 2.14
4 Co 0.0000 0.5000 0.8047 (multiplicity 2)  2 Co 2.14

(two)
A crystal of CaYCo2 relaxed with PBEsol, computed with SCAN.

Properties
D(E_F) = 6.6 states/eV/cell

Cell: 3.8673 3.8673 9.6730 Å, 90.00 90.00 90.00°
With the nearest neighbours (Å) after each atom.
Space group I-4m2 (No. 119)
Inequivalent atoms, fractional coordinates:
1 Ca 0.0000 0.0000 0.0000 (multiplicity 2)  4 Co 2.73
2 Y 0.0000 0.5000 0.7500 (multiplicity 2)  4 Co 2.73
3 Co 0.0000 0.0000 0.5000 (multiplicity 2)  4 Ca 2.73
4 Co 0.0000 0.5000 0.2500 (multiplicity 2)  4 Y 2.73

(three)
A crystal of CaYCo2 relaxed with PBEsol, computed with SCAN.

Properties
D(E_F) = 6.5 states/eV/cell

Cell: 9.5590 3.8640 6.4767 Å, 90.00 128.17 90.00°
With the nearest neighbours (Å) after each atom.
Space group C2/m (No. 12)
Inequivalent atoms, fractional coordinates:
1 Ca 0.0000 0.0000 0.0000 (multiplicity 2)  6 Co 2.89-3.00
2 Y 0.0000 0.5000 0.5000 (multiplicity 2)  6 Co 2.68-2.89
3 Co 0.2503 0.0000 0.5680 (multiplicity 4)  2 Co 2.12

(four)
A crystal of CaYCo2 relaxed with PBEsol, computed with SCAN.

Properties
D(E_F) = 10.3 states/eV/cell

Cell: 6.5531 6.5531 6.5531 Å, 90.00 90.00 90.00°
With the nearest neighbours (Å) after each atom.
Space group Fm-3m (No. 225)
Inequivalent atoms, fractional coordinates:
1 Ca 0.0000 0.0000 0.0000 (multiplicity 4)  8 Co 2.84
2 Y 0.0000 0.0000 0.5000 (multiplicity 4)  8 Co 2.84
3 Co 0.2500 0.2500 0.2500 (multiplicity 8)  4 Ca 2.84, 4 Y 2.84

Stability order, top to bottom: (one), (three), (four), (two)